No. 1
First-principles (PBE-GGA) data for a geometry-optimized CaCS2 structure, as listed in Alexandria.

Unit cell a=5.7168 b=5.7168 c=6.3126 alpha=63.08 beta=63.08 gamma=90.00
Element x y z (fractional)
C 0.5000 0.5000 0.0000
C 0.2500 0.7500 0.5000
Ca 0.0000 0.0000 0.0000
Ca 0.7500 0.2500 0.5000
S 0.5080 0.1250 0.2500
S 0.2420 0.6250 0.2500
S 0.3750 0.4920 0.7500
S 0.8750 0.7580 0.7500

Calculated values
symmetry: I-42d (122)
ΔE_f (raw): 0.19 eV/atom
DFT total energy: -37.470 eV per cell



No. 2
First-principles (PBE-GGA) data for a geometry-optimized La8Bi3Te4Br structure, as listed in Alexandria.

Unit cell a=9.2148 b=9.2321 c=9.2143 alpha=119.94 beta=120.00 gamma=90.00
Element x y z (fractional)
La 0.2540 0.7563 0.0023
La 0.2539 0.7563 0.5079
La 0.2491 0.2473 0.4982
La 0.7483 0.7563 0.0023
La 0.2517 0.2437 0.9977
La 0.7509 0.7527 0.5018
La 0.7461 0.2437 0.4921
La 0.7460 0.2437 0.9977
Bi 0.5000 0.5000 0.0000
Bi 0.5000 0.5000 0.5000
Bi 0.0000 0.5000 0.5000
Te 0.5000 0.0000 0.0000
Te 0.5000 0.0000 0.5000
Te 0.0000 0.0000 0.0000
Te 0.0000 0.0000 0.5000
Br 0.0000 0.5000 0.0000

Calculated values
symmetry: R-3m (166)
ΔE_f (raw): -1.36 eV/atom
DFT total energy: -87.121 eV per cell



No. 3
First-principles (PBE-GGA) data for a geometry-optimized LiCe2FeH6 structure, as listed in Alexandria.

Unit cell a=4.6707 b=5.0163 c=5.0163 alpha=120.00 beta=90.00 gamma=90.00
Each line ends with the local moment (μB).
Element x y z (fractional)
Li 0.5000 0.0000 0.0000  0.03
Ce 0.2395 0.3333 0.6667  1.25
Ce 0.7605 0.6667 0.3333  1.25
Fe 0.0000 0.0000 0.0000  1.41
H 0.7836 0.1609 0.3217  -0.01
H 0.7836 0.1609 0.8391  -0.01
H 0.7836 0.6783 0.8391  -0.01
H 0.2164 0.8391 0.1609  -0.01
H 0.2164 0.3217 0.1609  -0.01
H 0.2164 0.8391 0.6783  -0.01

Calculated values
symmetry: P-3m1 (164)
DFT total energy: -45.682 eV per cell



No. 4
First-principles (PBE-GGA) data for a geometry-optimized Ho2NpTl structure, as listed in Alexandria.

Unit cell a=3.4173 b=3.4173 c=9.2592 alpha=90.00 beta=90.00 gamma=90.00
Each line ends with the local moment (μB).
Element x y z (fractional)
Np 0.5000 0.5000 0.0000  3.80
Tl 0.5000 0.5000 0.5000  -0.01
Ho 0.0000 0.0000 0.7454  -0.03
Ho 0.0000 0.0000 0.2546  -0.03

Calculated values
symmetry: P4/mmm (123)
DFT total energy: -24.006 eV per cell



No. 5
First-principles (PBE-GGA) data for a geometry-optimized IrBrN2 structure, as listed in Alexandria.

Unit cell a=6.4107 b=6.4107 c=6.4107 alpha=29.06 beta=29.06 gamma=29.06
Element x y z (fractional)
Ir 0.5000 0.5000 0.5000
Br 0.0000 0.0000 0.0000
N 0.8836 0.8836 0.8836
N 0.1164 0.1164 0.1164

Calculated values
symmetry: R-3m (166)
ΔE_f (raw): 0.90 eV/atom
DFT total energy: -23.569 eV per cell
distance to the lowest polymorph of the same formula: 0 meV/atom



No. 6
First-principles (PBE-GGA) data for a geometry-optimized Cr3MoIr structure, as listed in Alexandria.

Unit cell a=4.4329 b=4.4329 c=4.4329 alpha=90.00 beta=90.00 gamma=90.00
Element x y z (fractional)
Cr 0.0000 0.5000 0.0000
Cr 0.0000 0.0000 0.5000
Cr 0.5000 0.0000 0.0000
Mo 0.5000 0.5000 0.5000
Ir 0.0000 0.0000 0.0000

Calculated values
symmetry: Pm-3m (221)
DFT total energy: -40.032 eV per cell



No. 7
First-principles (PBE-GGA) data for a geometry-optimized Cs3KBr structure, as listed in Alexandria.

Unit cell a=8.3365 b=8.3365 c=8.3365 alpha=90.00 beta=90.00 gamma=90.00
Element x y z (fractional)
Cs 0.0000 0.5000 0.0000
Cs 0.0000 0.0000 0.5000
Cs 0.5000 0.0000 0.0000
K 0.0000 0.0000 0.0000
Br 0.5000 0.5000 0.5000

Calculated values
symmetry: Pm-3m (221)
ΔE_f (raw): -0.19 eV/atom
DFT total energy: -6.304 eV per cell
distance to the lowest polymorph of the same formula: 490 meV/atom



No. 8
First-principles (PBE-GGA) data for a geometry-optimized Tb2InSi3Pt4 structure, as listed in Alexandria.

Unit cell a=4.2410 b=4.2410 c=10.3286 alpha=90.00 beta=90.00 gamma=90.00
Element x y z (fractional)
Tb 0.5000 0.0000 0.2418
Tb 0.0000 0.5000 0.7582
In 0.5000 0.5000 0.5000
Si 0.0000 0.0000 0.5000
Si 0.5000 0.0000 0.8773
Si 0.0000 0.5000 0.1227
Pt 0.5000 0.5000 0.0000
Pt 0.0000 0.0000 0.0000
Pt 0.5000 0.0000 0.6511
Pt 0.0000 0.5000 0.3489

Calculated values
symmetry: P-4m2 (115)
ΔE_f (raw): -0.98 eV/atom
DFT total energy: -62.246 eV per cell



Which value of DFT total energy does entry 4 give? -24.006 eV per cell



What did the second record say?
First-principles (PBE-GGA) data for a geometry-optimized La8Bi3Te4Br structure, as listed in Alexandria.

Unit cell a=9.2148 b=9.2321 c=9.2143 alpha=119.94 beta=120.00 gamma=90.00
Element x y z (fractional)
La 0.2540 0.7563 0.0023
La 0.2539 0.7563 0.5079
La 0.2491 0.2473 0.4982
La 0.7483 0.7563 0.0023
La 0.2517 0.2437 0.9977
La 0.7509 0.7527 0.5018
La 0.7461 0.2437 0.4921
La 0.7460 0.2437 0.9977
Bi 0.5000 0.5000 0.0000
Bi 0.5000 0.5000 0.5000
Bi 0.0000 0.5000 0.5000
Te 0.5000 0.0000 0.0000
Te 0.5000 0.0000 0.5000
Te 0.0000 0.0000 0.0000
Te 0.0000 0.0000 0.5000
Br 0.0000 0.5000 0.0000

Calculated values
symmetry: R-3m (166)
ΔE_f (raw): -1.36 eV/atom
DFT total energy: -87.121 eV per cell



The highest DFT total energy belongs to which entry? Cs3KBr



Among the records above, which one has the lowest DFT total energy? La8Bi3Te4Br